Record 1
DFT (GGA-PBE) results for Sc2HgIrF after structural relaxation.

Calculated values
crystal system: tetragonal
density of states at the Fermi level: 4.99 states/eV/cell
energy relative to the elements, uncorrected: -408.5 meV per atom
E: -5.148 eV per atom

Cell and atoms, written as CIF:
```
data_Sc2HgIrF
_space_group_name_H-M_alt 'P 4/m m m'
_space_group_IT_number 123
_space_group_name_Hall '-P 4 2'
_cell_length_a 5.093
_cell_length_b 5.093
_cell_length_c 4.183
_cell_angle_alpha 90.00
_cell_angle_beta 90.00
_cell_angle_gamma 90.00
loop_
_atom_site_label
_atom_site_type_symbol
_atom_site_fract_x
_atom_site_fract_y
_atom_site_fract_z
_atom_site_occupancy
Sc1 Sc 0.000 0.500 0.000 1
Hg1 Hg 0.000 0.000 0.500 1
Ir1 Ir 0.500 0.500 0.000 1
F1 F 0.500 0.500 0.500 1
```


Record 2
DFT (GGA-PBE) results for LaNd2Rh after structural relaxation.

Calculated values
crystal system: orthorhombic
density of states at the Fermi level: 23.21 states/eV/cell
energy relative to the lowest polymorph listed for this composition: 2.9 kJ/mol of atoms
E: -5.863 eV per atom

Cell and atoms, written as CIF:
```
data_LaNd2Rh
_space_group_name_H-M_alt 'C m c m'
_space_group_IT_number 63
_space_group_name_Hall '-C 2c 2'
_cell_length_a 3.917
_cell_length_b 12.269
_cell_length_c 10.085
_cell_angle_alpha 90.00
_cell_angle_beta 90.00
_cell_angle_gamma 90.00
loop_
_atom_site_label
_atom_site_type_symbol
_atom_site_fract_x
_atom_site_fract_y
_atom_site_fract_z
_atom_site_occupancy
La1 La 0.000 0.085 0.250 1
Nd1 Nd 0.000 0.358 0.067 1
Rh1 Rh 0.000 0.242 0.750 1
```


Record 3
DFT (GGA-PBE) results for TlSb3Cl after structural relaxation.

Calculated values
crystal system: cubic
density of states at the Fermi level: 7.43 states/eV/cell
energy relative to the elements, uncorrected: 587.9 meV per atom
energy relative to the lowest polymorph listed for this composition: 0.0 kJ/mol of atoms
E: -2.728 eV per atom

Cell and atoms, written as CIF:
```
data_TlSb3Cl
_space_group_name_H-M_alt 'P m -3 m'
_space_group_IT_number 221
_space_group_name_Hall '-P 4 2 3'
_cell_length_a 5.472
_cell_length_b 5.472
_cell_length_c 5.472
_cell_angle_alpha 90.00
_cell_angle_beta 90.00
_cell_angle_gamma 90.00
loop_
_atom_site_label
_atom_site_type_symbol
_atom_site_fract_x
_atom_site_fract_y
_atom_site_fract_z
_atom_site_occupancy
Tl1 Tl 0.000 0.000 0.000 1
Sb1 Sb 0.000 0.500 0.500 1
Cl1 Cl 0.500 0.500 0.500 1
```


Record 4
DFT (GGA-PBE) results for MgTlSb2H after structural relaxation.

Calculated values
crystal system: tetragonal
density of states at the Fermi level: 1.84 states/eV/cell
E: -2.873 eV per atom

Cell and atoms, written as CIF:
```
data_MgTlSb2H
_space_group_name_H-M_alt 'P 4/m m m'
_space_group_IT_number 123
_space_group_name_Hall '-P 4 2'
_cell_length_a 4.775
_cell_length_b 4.775
_cell_length_c 4.947
_cell_angle_alpha 90.00
_cell_angle_beta 90.00
_cell_angle_gamma 90.00
loop_
_atom_site_label
_atom_site_type_symbol
_atom_site_fract_x
_atom_site_fract_y
_atom_site_fract_z
_atom_site_occupancy
Mg1 Mg 0.000 0.000 0.000 1
Tl1 Tl 0.500 0.500 0.000 1
Sb1 Sb 0.000 0.500 0.500 1
H1 H 0.500 0.500 0.500 1
```


Record 5
DFT (GGA-PBE) results for Nd2CdSe4 after structural relaxation.

Calculated values
crystal system: tetragonal
energy relative to the elements, uncorrected: -1434.3 meV per atom
E: -4.918 eV per atom

Cell and atoms, written as CIF:
```
data_Nd2CdSe4
_space_group_name_H-M_alt 'I -4 2 d'
_space_group_IT_number 122
_space_group_name_Hall 'I -4 2bw'
_cell_length_a 8.832
_cell_length_b 8.832
_cell_length_c 9.274
_cell_angle_alpha 90.00
_cell_angle_beta 90.00
_cell_angle_gamma 90.00
loop_
_atom_site_label
_atom_site_type_symbol
_atom_site_fract_x
_atom_site_fract_y
_atom_site_fract_z
_atom_site_occupancy
Nd1 Nd 0.135 0.750 0.125 1
Cd1 Cd 0.000 0.000 0.500 1
Se1 Se 0.069 0.695 0.438 1
```


Record 6
DFT (GGA-PBE) results for DyAsF after structural relaxation.

Calculated values
crystal system: monoclinic
density of states at the Fermi level: 3.06 states/eV/cell
energy relative to the elements, uncorrected: -2037.6 meV per atom
energy relative to the lowest polymorph listed for this composition: 30.7 kJ/mol of atoms
E: -5.745 eV per atom

Cell and atoms, written as CIF:
```
data_DyAsF
_space_group_name_H-M_alt 'P 1 21/m 1'
_space_group_IT_number 11
_space_group_name_Hall '-P 2yb'
_cell_length_a 5.251
_cell_length_b 4.511
_cell_length_c 5.262
_cell_angle_alpha 90.00
_cell_angle_beta 111.84
_cell_angle_gamma 90.00
loop_
_atom_site_label
_atom_site_type_symbol
_atom_site_fract_x
_atom_site_fract_y
_atom_site_fract_z
_atom_site_occupancy
Dy1 Dy 0.179 0.250 0.321 1
As1 As 0.414 0.750 0.086 1
F1 F 0.079 0.750 0.423 1
```


Record 7
DFT (GGA-PBE) results for YAg3 after structural relaxation.

Calculated values
crystal system: tetragonal
density of states at the Fermi level: 7.40 states/eV/cell
E: -3.919 eV per atom

Cell and atoms, written as CIF:
```
data_YAg3
_space_group_name_H-M_alt 'I 4/m m m'
_space_group_IT_number 139
_space_group_name_Hall '-I 4 2'
_cell_length_a 4.673
_cell_length_b 4.673
_cell_length_c 15.389
_cell_angle_alpha 90.00
_cell_angle_beta 90.00
_cell_angle_gamma 90.00
loop_
_atom_site_label
_atom_site_type_symbol
_atom_site_fract_x
_atom_site_fract_y
_atom_site_fract_z
_atom_site_occupancy
Y1 Y 0.000 0.000 0.129 1
Ag1 Ag 0.000 0.000 0.376 1
Ag2 Ag 0.000 0.500 0.000 1
Ag3 Ag 0.000 0.500 0.250 1
```


Record 8
DFT (GGA-PBE) results for Si2TcP after structural relaxation.

Calculated values
crystal system: tetragonal
density of states at the Fermi level: 2.24 states/eV/cell
energy relative to the elements, uncorrected: 284.8 meV per atom
E: -6.371 eV per atom

Cell and atoms, written as CIF:
```
data_Si2TcP
_space_group_name_H-M_alt 'P 4/m m m'
_space_group_IT_number 123
_space_group_name_Hall '-P 4 2'
_cell_length_a 4.222
_cell_length_b 4.222
_cell_length_c 3.126
_cell_angle_alpha 90.00
_cell_angle_beta 90.00
_cell_angle_gamma 90.00
loop_
_atom_site_label
_atom_site_type_symbol
_atom_site_fract_x
_atom_site_fract_y
_atom_site_fract_z
_atom_site_occupancy
Si1 Si 0.000 0.500 0.000 1
Tc1 Tc 0.000 0.000 0.500 1
P1 P 0.500 0.500 0.500 1
```


Record 9
DFT (GGA-PBE) results for Cs2PuHg2O6 after structural relaxation.

Calculated values
crystal system: monoclinic
density of states at the Fermi level: 9.84 states/eV/cell
energy relative to the elements, uncorrected: -1434.8 meV per atom
E: -5.652 eV per atom

Cell and atoms, written as CIF:
```
data_Cs2PuHg2O6
_space_group_name_H-M_alt 'C 1 2/m 1'
_space_group_IT_number 12
_space_group_name_Hall '-C 2y'
_cell_length_a 7.382
_cell_length_b 9.835
_cell_length_c 7.696
_cell_angle_alpha 90.00
_cell_angle_beta 118.07
_cell_angle_gamma 90.00
loop_
_atom_site_label
_atom_site_type_symbol
_atom_site_fract_x
_atom_site_fract_y
_atom_site_fract_z
_atom_site_occupancy
Cs1 Cs 0.000 0.195 0.000 1
Pu1 Pu 0.000 0.500 0.500 1
Hg1 Hg 0.000 0.166 0.500 1
O1 O 0.063 0.355 0.706 1
O2 O 0.156 0.000 0.413 1
```


Record 10
DFT (GGA-PBE) results for ErScInRh after structural relaxation.

Calculated values
crystal system: cubic
density of states at the Fermi level: 8.33 states/eV/cell
energy relative to the lowest polymorph listed for this composition: 12.6 kJ/mol of atoms
E: -5.830 eV per atom

Cell and atoms, written as CIF:
```
data_ErScInRh
_space_group_name_H-M_alt 'F -4 3 m'
_space_group_IT_number 216
_space_group_name_Hall 'F -4 2 3'
_cell_length_a 6.978
_cell_length_b 6.978
_cell_length_c 6.978
_cell_angle_alpha 90.00
_cell_angle_beta 90.00
_cell_angle_gamma 90.00
loop_
_atom_site_label
_atom_site_type_symbol
_atom_site_fract_x
_atom_site_fract_y
_atom_site_fract_z
_atom_site_occupancy
Er1 Er 0.000 0.000 0.000 1
Sc1 Sc 0.000 0.000 0.500 1
In1 In 0.250 0.250 0.750 1
Rh1 Rh 0.250 0.250 0.250 1
```


Record 11
DFT (GGA-PBE) results for Re2SbOs after structural relaxation.

Calculated values
crystal system: cubic
density of states at the Fermi level: 16.16 states/eV/cell
energy relative to the elements, uncorrected: 731.1 meV per atom
E: -9.331 eV per atom

Cell and atoms, written as CIF:
```
data_Re2SbOs
_space_group_name_H-M_alt 'F -4 3 m'
_space_group_IT_number 216
_space_group_name_Hall 'F -4 2 3'
_cell_length_a 6.382
_cell_length_b 6.382
_cell_length_c 6.382
_cell_angle_alpha 90.00
_cell_angle_beta 90.00
_cell_angle_gamma 90.00
loop_
_atom_site_label
_atom_site_type_symbol
_atom_site_fract_x
_atom_site_fract_y
_atom_site_fract_z
_atom_site_occupancy
Re1 Re 0.000 0.000 0.000 1
Re2 Re 0.250 0.250 0.250 1
Sb1 Sb 0.250 0.250 0.750 1
Os1 Os 0.000 0.000 0.500 1
```


Record 12
DFT (GGA-PBE) results for BeAl2Se after structural relaxation.

Calculated values
crystal system: orthorhombic
density of states at the Fermi level: 3.25 states/eV/cell
energy relative to the elements, uncorrected: 260.4 meV per atom
energy relative to the lowest polymorph listed for this composition: 20.6 kJ/mol of atoms
E: -3.414 eV per atom

Cell and atoms, written as CIF:
```
data_BeAl2Se
_space_group_name_H-M_alt 'C m m m'
_space_group_IT_number 65
_space_group_name_Hall '-C 2 2'
_cell_length_a 4.048
_cell_length_b 4.277
_cell_length_c 7.294
_cell_angle_alpha 90.00
_cell_angle_beta 90.00
_cell_angle_gamma 90.00
loop_
_atom_site_label
_atom_site_type_symbol
_atom_site_fract_x
_atom_site_fract_y
_atom_site_fract_z
_atom_site_occupancy
Be1 Be 0.000 0.000 0.000 1
Al1 Al 0.000 0.500 0.205 1
Se1 Se 0.000 0.000 0.500 1
```


Question: The lowest E belongs to which entry?
Answer: Re2SbOs